{
  "formula": "Rb2SnHgSe4",
  "functional": "PBE",
  "state": "optimized geometry",
  "formation_energy_uncorrected_ev_per_atom": -0.723,
  "lattice": [[7.211, 0.151, 0.232], [-2.935, 6.588, -0.232], [-2.935, -2.863, 5.938]],
  "species": ["Se", "Se", "Se", "Se", "Rb", "Rb", "Sn", "Hg"],
  "fractional_positions": [[0.611, 0.418, 0.482], [0.064, 0.194, 0.582], [0.389, 0.871, 0.806], [0.936, 0.518, 0.129], [0.500, 0.750, 0.250], [0.000, 0.000, 0.000], [0.000, 0.500, 0.500], [0.500, 0.250, 0.750]]
}